## LiTmPb (PBE)

Data for a relaxed structure of LiTmPb.

The value obtained for the energy of formation is -0.183 eV per atom. The calculated total energy is -3.548 eV per atom. The crystal system is tetragonal.

```
LiTmPb
1.0
-1.787 1.787 5.744
1.787 -1.787 5.744
1.787 1.787 -5.744
Li Tm Pb
1 1 1
direct
0.000 0.000 0.000 Li
0.313 0.313 0.000 Tm
0.625 0.625 0.000 Pb
```

## Li2TmPb9 (PBE)

Data for a relaxed structure of Li2TmPb9.

The value obtained for the energy of formation is -0.154 eV per atom. The calculated total energy is -3.627 eV per atom. The crystal system is tetragonal.

```
Li2TmPb9
1.0
4.789 0.000 0.000
0.000 4.789 0.000
0.000 0.000 14.902
Li Tm Pb
2 1 9
direct
0.000 0.000 0.167 Li
0.000 0.000 0.833 Li
0.000 0.000 0.500 Tm
0.000 0.500 0.000 Pb
0.000 0.500 0.330 Pb
0.000 0.500 0.670 Pb
0.500 0.000 0.000 Pb
0.500 0.000 0.330 Pb
0.500 0.000 0.670 Pb
0.500 0.500 0.164 Pb
0.500 0.500 0.500 Pb
0.500 0.500 0.836 Pb
```

## LiTm2Pb (PBE)

Data for a relaxed structure of LiTm2Pb.

The value obtained for the energy of formation is 0.181 eV per atom. The calculated total energy is -3.461 eV per atom. The crystal system is trigonal.

```
LiTm2Pb
1.0
1.710 0.988 11.495
-1.710 0.988 11.495
0.000 -1.975 11.495
Li Tm Pb
1 2 1
direct
0.000 0.000 0.000 Li
0.409 0.409 0.409 Tm
0.591 0.591 0.591 Tm
0.500 0.500 0.500 Pb
```

## Li4TmPb5 (PBE)

Data for a relaxed structure of Li4TmPb5.

The value obtained for the energy of formation is -0.285 eV per atom. The calculated total energy is -3.352 eV per atom. The crystal system is tetragonal.

```
Li4TmPb5
1.0
3.576 0.000 0.000
0.000 3.576 0.000
0.000 0.000 18.487
Li Tm Pb
4 1 5
direct
0.000 0.000 0.095 Li
0.000 0.000 0.288 Li
0.000 0.000 0.712 Li
0.000 0.000 0.905 Li
0.000 0.000 0.500 Tm
0.500 0.500 0.000 Pb
0.500 0.500 0.192 Pb
0.500 0.500 0.383 Pb
0.500 0.500 0.617 Pb
0.500 0.500 0.808 Pb
```